(1)
Here is a crystal of MgInCu2 relaxed with PBEsol from Alexandria via LeMat-Bulk. Energies are from meta-GGA SCAN.

Results
Calculated formation energy = -0.064 eV/atom

```
MgInCu2
1.0
4.175 0.000 0.000
0.000 1.511 5.029
0.000 -1.511 5.029
Mg In Cu
1 1 2
direct
0.000 0.000 0.000
0.500 0.681 0.681
0.000 0.277 0.277
0.500 0.411 0.411
```

***

(2)
Here is a crystal of CuAgAs2 relaxed with PBEsol from Alexandria via LeMat-Bulk. Energies are from meta-GGA SCAN.

Results
ΔE to the lowest computed polymorph = 77 meV per atom
Calculated formation energy = 0.243 eV/atom

```
CuAgAs2
1.0
2.989 0.000 0.000
0.000 3.696 0.000
0.000 0.000 5.946
Cu Ag As
1 1 2
direct
0.000 0.000 0.000
0.000 0.000 0.500
0.500 0.500 0.222
0.500 0.500 0.778
```

***

(3)
Here is a crystal of AlS2N2 relaxed with PBEsol from Alexandria via LeMat-Bulk. Energies are from meta-GGA SCAN.

Results
ΔE to the lowest computed polymorph = 443 meV per atom
Raw formation energy = 1374 meV per atom

```
AlS2N2
1.0
4.612 0.000 0.000
0.000 4.612 0.000
0.000 0.000 3.620
Al S N
1 2 2
direct
0.000 0.000 0.000
0.000 0.500 0.000
0.500 0.000 0.000
0.000 0.000 0.500
0.500 0.500 0.500
```

***

(4)
Here is a crystal of SrTlRe2 relaxed with PBEsol from Alexandria via LeMat-Bulk. Energies are from meta-GGA SCAN.

Results
ΔE to the lowest computed polymorph = 482 meV per atom
Calculated formation energy = 1.324 eV/atom

```
SrTlRe2
1.0
4.074 0.000 0.000
0.000 4.074 0.000
0.000 0.000 4.718
Sr Tl Re
1 1 2
direct
0.000 0.000 0.000
0.500 0.500 0.000
0.000 0.500 0.500
0.500 0.000 0.500
```

***

(5)
Here is a crystal of InPH4O6 relaxed with PBEsol from Alexandria via LeMat-Bulk. Energies are from meta-GGA SCAN.

Results
DFT total energy = -9.595 eV/atom

```
InPH4O6
1.0
5.369 0.000 0.000
0.000 10.404 0.000
-4.852 0.000 8.769
In P H O
4 4 16 24
direct
0.121 0.172 0.213
0.121 0.328 0.713
0.879 0.672 0.287
0.879 0.828 0.787
0.272 0.641 0.676
0.272 0.859 0.176
0.728 0.141 0.824
0.728 0.359 0.324
0.083 0.040 0.744
0.083 0.460 0.244
0.367 0.546 0.292
0.367 0.954 0.792
0.382 0.159 0.534
0.382 0.341 0.034
0.398 0.691 0.028
0.398 0.809 0.528
0.602 0.191 0.472
0.602 0.309 0.972
0.618 0.659 0.966
0.618 0.841 0.466
0.633 0.046 0.208
0.633 0.454 0.708
0.917 0.540 0.756
0.917 0.960 0.256
0.060 0.662 0.737
0.060 0.838 0.237
0.153 0.550 0.242
0.153 0.950 0.742
0.167 0.710 0.520
0.167 0.790 0.020
0.302 0.006 0.159
0.302 0.494 0.659
0.424 0.141 0.448
0.424 0.359 0.948
0.435 0.199 0.709
0.435 0.301 0.209
0.565 0.699 0.791
0.565 0.801 0.291
0.576 0.641 0.052
0.576 0.859 0.552
0.698 0.506 0.341
0.698 0.994 0.841
0.833 0.210 0.980
0.833 0.290 0.480
0.847 0.050 0.258
0.847 0.450 0.758
0.940 0.162 0.763
0.940 0.338 0.263
```

***

(6)
Here is a crystal of SrGaW2I relaxed with PBEsol from Alexandria via LeMat-Bulk. Energies are from meta-GGA SCAN.

Results
Raw formation energy = 1535 meV per atom

```
SrGaW2I
1.0
4.700 0.000 0.000
0.000 4.700 0.000
0.000 0.000 5.707
Sr Ga W I
1 1 2 1
direct
0.000 0.000 0.000
0.000 0.000 0.500
0.000 0.500 0.500
0.500 0.000 0.500
0.500 0.500 0.000
```